1.
VASP calculation (PBE) on crystalline Ti2BeGe2 at its relaxed geometry.

Lattice parameters (Å, degrees): 6.4431 6.4431 3.8209 90.00 90.00 90.00
Last column: nearest neighbours and their distance in Å.
Atoms (fractional coordinates):
Be 0.0000 0.0000 0.0000  4 Ti 2.39
Be 0.5000 0.5000 0.0000  4 Ti 2.39
Ge 0.1422 0.6422 0.5000  6 Ti 2.57-2.77, 1 Ge 2.59
Ge 0.6422 0.8578 0.5000  6 Ti 2.57-2.77, 1 Ge 2.59
Ge 0.8578 0.3578 0.5000  6 Ti 2.57-2.77, 1 Ge 2.59
Ge 0.3578 0.1422 0.5000  6 Ti 2.57-2.77, 1 Ge 2.59
Ti 0.3310 0.8310 0.0000  2 Be 2.39, 2 Ge 2.57
Ti 0.8310 0.6690 0.0000  2 Be 2.39, 2 Ge 2.57
Ti 0.6690 0.1690 0.0000  2 Be 2.39, 2 Ge 2.57
Ti 0.1690 0.3310 0.0000  2 Be 2.39, 2 Ge 2.57

Output
calculated formation energy	-148	meV per atom
SG	No. 127
Fermi-level density of states	5.5	states/eV/cell
offset from the most stable computed form	1.137	eV per formula unit
V	158.6	Å³ per cell
energy	-5.898	eV/atom
size of the total moment	0.00	μB/f.u.

2.
VASP calculation (PBE) on crystalline TiBe3Ge at its relaxed geometry.

Lattice parameters (Å, degrees): 4.1509 4.1509 4.1509 90.00 90.00 90.00
Last column: nearest neighbours and their distance in Å.
Atoms (fractional coordinates):
Be 0.0000 0.5000 0.0000  2 Ge 2.08
Be 0.0000 0.0000 0.5000  2 Ge 2.08
Be 0.5000 0.0000 0.0000  2 Ge 2.08
Ge 0.0000 0.0000 0.0000  6 Be 2.08
Ti 0.5000 0.5000 0.5000  12 Be 2.94

Output
calculated formation energy	866	meV per atom
SG	No. 221
Fermi-level density of states	1.5	states/eV/cell
offset from the most stable computed form	0.000	eV per formula unit
V	71.5	Å³ per cell
energy	-3.872	eV/atom
size of the total moment	0.00	μB/f.u.

3.
VASP calculation (PBE) on crystalline Ti2BeGe at its relaxed geometry.

Lattice parameters (Å, degrees): 3.8225 3.8446 3.8446 90.00 90.00 90.00
Last column: nearest neighbours and their distance in Å.
Atoms (fractional coordinates):
Be 0.5000 0.0000 0.0000  8 Ti 2.71, 4 Ge 2.72
Ge 0.5000 0.5000 0.5000  8 Ti 2.71, 4 Be 2.72
Ti 0.0000 0.0000 0.5000  4 Ge 2.71, 4 Be 2.71, 4 Ti 2.72
Ti 0.0000 0.5000 0.0000  4 Ge 2.71, 4 Be 2.71, 4 Ti 2.72

Output
calculated formation energy	-358	meV per atom
SG	No. 123
Fermi-level density of states	2.8	states/eV/cell
V	56.5	Å³ per cell
energy	-6.391	eV/atom
size of the total moment	0.00	μB/f.u.

4.
VASP calculation (PBE) on crystalline TiBeGe2 at its relaxed geometry.

Lattice parameters (Å, degrees): 6.7308 6.7308 5.4712 52.04 52.04 90.00
Last column: nearest neighbours and their distance in Å.
Atoms (fractional coordinates):
Be 0.5000 0.5000 0.0000  4 Ge 2.27
Be 0.2500 0.7500 0.5000  4 Ge 2.27
Ge 0.5782 0.1250 0.2500  2 Be 2.27
Ge 0.1718 0.6250 0.2500  2 Be 2.27
Ge 0.3750 0.4218 0.7500  2 Be 2.27
Ge 0.8750 0.8282 0.7500  2 Be 2.27
Ti 0.0000 0.0000 0.0000  8 Ge 2.70-2.97, 2 Be 2.70
Ti 0.7500 0.2500 0.5000  8 Ge 2.70-2.97, 2 Be 2.70

Output
calculated formation energy	61	meV per atom
SG	No. 122
Fermi-level density of states	1.4	states/eV/cell
V	122.3	Å³ per cell
energy	-5.153	eV/atom
size of the total moment	0.00	μB/f.u.